Entry 1:
A plane-wave DFT calculation with meta-GGA SCAN was carried out for a PBEsol-optimized structure of CdAs2S2O4F12.

Computed properties:
DFT total energy	-1583.97	eV per cell
DOS at the Fermi energy	0.000	states/eV/cell
ΔE_f (raw)	-1.930	eV per atom
M_tot	0.00	Bohr magnetons per cell

The structure in CIF format:
```
data_CdAs2S2O4F12
_symmetry_space_group_name_H-M 'F d d 2'
_symmetry_Int_Tables_number 43
_symmetry_space_group_name_Hall 'F 2 -2d'
_cell_length_a 15.4023
_cell_length_b 18.0556
_cell_length_c 8.8438
_cell_angle_alpha 90.00
_cell_angle_beta 90.00
_cell_angle_gamma 90.00
loop_
_atom_site_label
_atom_site_type_symbol
_atom_site_fract_x
_atom_site_fract_y
_atom_site_fract_z
Cd1 Cd 0.0000 0.0000 0.0000
As1 As 0.0898 0.1939 0.9074
S1 S 0.0847 0.1461 0.4278
O1 O 0.0668 0.1006 0.2986
O2 O 0.0960 0.4513 0.6605
F1 F 0.0030 0.2016 0.0334
F2 F 0.0198 0.1811 0.7561
F3 F 0.0700 0.4338 0.0414
F4 F 0.0873 0.4526 0.3155
F5 F 0.0903 0.0955 0.9431
F6 F 0.0903 0.2905 0.8818
```



Entry 2:
A plane-wave DFT calculation with meta-GGA SCAN was carried out for a PBEsol-optimized structure of CdFe2As.

Computed properties:
DFT total energy	-340.18	eV per cell
DOS at the Fermi energy	11.540	states/eV/cell
distance to the lowest polymorph of the same formula	178.9	meV per atom
ΔE_f	0.455	eV per atom
M_tot	20.24	Bohr magnetons per cell

The structure in CIF format:
```
data_CdFe2As
_symmetry_space_group_name_H-M 'F -4 3 m'
_symmetry_Int_Tables_number 216
_symmetry_space_group_name_Hall 'F -4 2 3'
_cell_length_a 6.1432
_cell_length_b 6.1432
_cell_length_c 6.1432
_cell_angle_alpha 90.00
_cell_angle_beta 90.00
_cell_angle_gamma 90.00
loop_
_atom_site_label
_atom_site_type_symbol
_atom_site_fract_x
_atom_site_fract_y
_atom_site_fract_z
Cd1 Cd 0.0000 0.0000 0.0000
Fe1 Fe 0.0000 0.0000 0.5000
Fe2 Fe 0.2500 0.2500 0.2500
As1 As 0.2500 0.2500 0.7500
```



Entry 3:
A plane-wave DFT calculation with meta-GGA SCAN was carried out for a PBEsol-optimized structure of CdFe2As.

Computed properties:
DFT total energy	-171.52	eV per cell
DOS at the Fermi energy	4.519	states/eV/cell
distance to the lowest polymorph of the same formula	0.0	meV per atom
ΔE_f	0.276	eV per atom
M_tot	9.91	Bohr magnetons per cell

The structure in CIF format:
```
data_CdFe2As
_symmetry_space_group_name_H-M 'C 1 2/m 1'
_symmetry_Int_Tables_number 12
_symmetry_space_group_name_Hall '-C 2y'
_cell_length_a 7.9338
_cell_length_b 2.9471
_cell_length_c 5.1856
_cell_angle_alpha 90.00
_cell_angle_beta 102.27
_cell_angle_gamma 90.00
loop_
_atom_site_label
_atom_site_type_symbol
_atom_site_fract_x
_atom_site_fract_y
_atom_site_fract_z
Cd1 Cd 0.0000 0.0000 0.0000
Fe1 Fe 0.2408 0.0000 0.6836
As1 As 0.0000 0.5000 0.5000
```



Entry 4:
A plane-wave DFT calculation with meta-GGA SCAN was carried out for a PBEsol-optimized structure of Cd3FeAs.

Computed properties:
DFT total energy	-125.92	eV per cell
DOS at the Fermi energy	2.873	states/eV/cell
ΔE_f	0.729	eV per atom
M_tot	3.09	Bohr magnetons per cell

The structure in CIF format:
```
data_Cd3FeAs
_symmetry_space_group_name_H-M 'P m -3 m'
_symmetry_Int_Tables_number 221
_symmetry_space_group_name_Hall '-P 4 2 3'
_cell_length_a 4.8858
_cell_length_b 4.8858
_cell_length_c 4.8858
_cell_angle_alpha 90.00
_cell_angle_beta 90.00
_cell_angle_gamma 90.00
loop_
_atom_site_label
_atom_site_type_symbol
_atom_site_fract_x
_atom_site_fract_y
_atom_site_fract_z
Cd1 Cd 0.0000 0.0000 0.5000
Fe1 Fe 0.0000 0.0000 0.0000
As1 As 0.5000 0.5000 0.5000
```



Entry 5:
A plane-wave DFT calculation with meta-GGA SCAN was carried out for a PBEsol-optimized structure of MgCd2FeAs.

Computed properties:
DFT total energy	-100.83	eV per cell
DOS at the Fermi energy	2.766	states/eV/cell
ΔE_f	0.658	eV per atom
M_tot	2.88	Bohr magnetons per cell

The structure in CIF format:
```
data_MgCd2FeAs
_symmetry_space_group_name_H-M 'P 4/m m m'
_symmetry_Int_Tables_number 123
_symmetry_space_group_name_Hall '-P 4 2'
_cell_length_a 4.8688
_cell_length_b 4.8688
_cell_length_c 4.8583
_cell_angle_alpha 90.00
_cell_angle_beta 90.00
_cell_angle_gamma 90.00
loop_
_atom_site_label
_atom_site_type_symbol
_atom_site_fract_x
_atom_site_fract_y
_atom_site_fract_z
Mg1 Mg 0.0000 0.0000 0.0000
Cd1 Cd 0.0000 0.5000 0.5000
Fe1 Fe 0.0000 0.0000 0.5000
As1 As 0.5000 0.5000 0.0000
```



Entry 6:
A plane-wave DFT calculation with meta-GGA SCAN was carried out for a PBEsol-optimized structure of ZrCdFeAs2.

Computed properties:
DFT total energy	-113.07	eV per cell
DOS at the Fermi energy	4.050	states/eV/cell
ΔE_f	1.311	eV per atom
M_tot	2.68	Bohr magnetons per cell

The structure in CIF format:
```
data_ZrCdFeAs2
_symmetry_space_group_name_H-M 'P 4/m m m'
_symmetry_Int_Tables_number 123
_symmetry_space_group_name_Hall '-P 4 2'
_cell_length_a 4.8818
_cell_length_b 4.8818
_cell_length_c 5.3048
_cell_angle_alpha 90.00
_cell_angle_beta 90.00
_cell_angle_gamma 90.00
loop_
_atom_site_label
_atom_site_type_symbol
_atom_site_fract_x
_atom_site_fract_y
_atom_site_fract_z
Zr1 Zr 0.0000 0.0000 0.0000
Cd1 Cd 0.0000 0.0000 0.5000
Fe1 Fe 0.5000 0.5000 0.0000
As1 As 0.0000 0.5000 0.5000
```



Entry 7:
A plane-wave DFT calculation with meta-GGA SCAN was carried out for a PBEsol-optimized structure of Cd2Ga2As.

Computed properties:
DFT total energy	-224.55	eV per cell
DOS at the Fermi energy	3.510	states/eV/cell
ΔE_f	0.287	eV per atom
M_tot	0.00	Bohr magnetons per cell

The structure in CIF format:
```
data_Cd2Ga2As
_symmetry_space_group_name_H-M 'I 4/m m m'
_symmetry_Int_Tables_number 139
_symmetry_space_group_name_Hall '-I 4 2'
_cell_length_a 4.1004
_cell_length_b 4.1004
_cell_length_c 12.2516
_cell_angle_alpha 90.00
_cell_angle_beta 90.00
_cell_angle_gamma 90.00
loop_
_atom_site_label
_atom_site_type_symbol
_atom_site_fract_x
_atom_site_fract_y
_atom_site_fract_z
Cd1 Cd 0.0000 0.5000 0.2500
Ga1 Ga 0.0000 0.0000 0.0965
As1 As 0.0000 0.0000 0.5000
```



Entry 8:
A plane-wave DFT calculation with meta-GGA SCAN was carried out for a PBEsol-optimized structure of CdGe2As2.

Computed properties:
DFT total energy	-215.28	eV per cell
DOS at the Fermi energy	3.385	states/eV/cell
ΔE_f	0.266	eV per atom
M_tot	0.00	Bohr magnetons per cell

The structure in CIF format:
```
data_CdGe2As2
_symmetry_space_group_name_H-M 'I 4/m m m'
_symmetry_Int_Tables_number 139
_symmetry_space_group_name_Hall '-I 4 2'
_cell_length_a 5.0332
_cell_length_b 5.0332
_cell_length_c 8.4438
_cell_angle_alpha 90.00
_cell_angle_beta 90.00
_cell_angle_gamma 90.00
loop_
_atom_site_label
_atom_site_type_symbol
_atom_site_fract_x
_atom_site_fract_y
_atom_site_fract_z
Cd1 Cd 0.0000 0.0000 0.0000
Ge1 Ge 0.0000 0.5000 0.2500
As1 As 0.0000 0.0000 0.3491
```



Entry 9:
A plane-wave DFT calculation with meta-GGA SCAN was carried out for a PBEsol-optimized structure of Cd2GeAs.

Computed properties:
DFT total energy	-395.41	eV per cell
DOS at the Fermi energy	6.797	states/eV/cell
ΔE_f	0.314	eV per atom
M_tot	0.00	Bohr magnetons per cell

The structure in CIF format:
```
data_Cd2GeAs
_symmetry_space_group_name_H-M 'F m -3 m'
_symmetry_Int_Tables_number 225
_symmetry_space_group_name_Hall '-F 4 2 3'
_cell_length_a 6.8699
_cell_length_b 6.8699
_cell_length_c 6.8699
_cell_angle_alpha 90.00
_cell_angle_beta 90.00
_cell_angle_gamma 90.00
loop_
_atom_site_label
_atom_site_type_symbol
_atom_site_fract_x
_atom_site_fract_y
_atom_site_fract_z
Cd1 Cd 0.2500 0.2500 0.2500
Ge1 Ge 0.0000 0.0000 0.0000
As1 As 0.0000 0.0000 0.5000
```



Entry 10:
A plane-wave DFT calculation with meta-GGA SCAN was carried out for a PBEsol-optimized structure of MnCdGe2As.

Computed properties:
DFT total energy	-102.15	eV per cell
DOS at the Fermi energy	2.502	states/eV/cell
ΔE_f	0.978	eV per atom
M_tot	4.60	Bohr magnetons per cell

The structure in CIF format:
```
data_MnCdGe2As
_symmetry_space_group_name_H-M 'P 4/m m m'
_symmetry_Int_Tables_number 123
_symmetry_space_group_name_Hall '-P 4 2'
_cell_length_a 4.9391
_cell_length_b 4.9391
_cell_length_c 4.9865
_cell_angle_alpha 90.00
_cell_angle_beta 90.00
_cell_angle_gamma 90.00
loop_
_atom_site_label
_atom_site_type_symbol
_atom_site_fract_x
_atom_site_fract_y
_atom_site_fract_z
Mn1 Mn 0.0000 0.0000 0.0000
Cd1 Cd 0.0000 0.0000 0.5000
Ge1 Ge 0.0000 0.5000 0.5000
As1 As 0.5000 0.5000 0.0000
```



Entry 11:
A plane-wave DFT calculation with meta-GGA SCAN was carried out for a PBEsol-optimized structure of CdGeAsP.

Computed properties:
DFT total energy	-322.36	eV per cell
ΔE_f	-0.125	eV per atom
M_tot	0.00	Bohr magnetons per cell

The structure in CIF format:
```
data_CdGeAsP
_symmetry_space_group_name_H-M 'I 21 21 21'
_symmetry_Int_Tables_number 24
_symmetry_space_group_name_Hall 'I 2b 2c'
_cell_length_a 5.7739
_cell_length_b 5.8617
_cell_length_c 11.0821
_cell_angle_alpha 90.00
_cell_angle_beta 90.00
_cell_angle_gamma 90.00
loop_
_atom_site_label
_atom_site_type_symbol
_atom_site_fract_x
_atom_site_fract_y
_atom_site_fract_z
Cd1 Cd 0.0000 0.2500 0.1156
Ge1 Ge 0.0000 0.2500 0.6220
As1 As 0.2290 0.0000 0.7500
P1 P 0.2500 0.4657 0.5000
```